1.
NbPdRu3: optimized geometry, PBE.

Cell: 4.656 4.656 4.656 Å, 90.00 90.00 90.00°
Positions (direct):
Nb 0.000 0.000 0.000
Pd 0.500 0.500 0.500
Ru 0.000 0.500 0.500
Ru 0.500 0.000 0.500
Ru 0.500 0.500 0.000

Results
DFT total energy = -33.37 eV per formula unit
total moment = 0.69 μB per atom
space group = Pm-3m
D(E_F) = 8.06 states/eV/f.u.
relative energy among the computed polymorphs = 1.80 eV/f.u.
E_form = 1.94 eV per atom

2.
CuBi2O2: optimized geometry, PBE.

Cell: 5.089 5.089 5.089 Å, 119.56 119.56 90.77°
Positions (direct):
Cu 0.000 0.000 0.000
Bi 0.250 0.750 0.500
Bi 0.750 0.250 0.500
O 0.262 0.262 0.000
O 0.738 0.738 0.000

Results
DFT total energy = -23.99 eV per formula unit
total moment = 0.00 μB per atom
space group = I4/mmm
D(E_F) = 2.00 states/eV/f.u.
relative energy among the computed polymorphs = 0.00 eV/f.u.
formation energy from raw total energies = -2.21 eV/f.u.

3.
RbMn2CrCl8: optimized geometry, PBE.

Cell: 11.013 11.013 11.013 Å, 32.68 32.68 32.68°
Positions (direct):
Rb 0.000 0.000 0.000
Mn 0.238 0.238 0.238
Mn 0.762 0.762 0.762
Cr 0.500 0.500 0.500
Cl 0.159 0.427 0.761
Cl 0.239 0.573 0.841
Cl 0.311 0.311 0.311
Cl 0.427 0.761 0.159
Cl 0.573 0.841 0.239
Cl 0.689 0.689 0.689
Cl 0.761 0.159 0.427
Cl 0.841 0.239 0.573

Results
DFT total energy = -57.11 eV per formula unit
total moment = 1.08 μB per atom
space group = R32
formation energy from raw total energies = -13.41 eV/f.u.